Density functional theory data (GGA+U) for a relaxed BeVCoF2 crystal.

Computed properties:
E: -4.234 eV/atom
Total moment: 0.051 μB per atom
Volume: 77.94 Å³ per cell
ρ: 3.34 Mg/m³

Unit cell a=3.789 b=5.429 c=3.789 alpha=90.00 beta=90.00 gamma=90.00
Each line ends with the local moment (μB).
Positions (direct):
F (0.000, 0.000, 0.500)  -0.01
F (0.500, 0.000, 0.000)  -0.05
Co (0.500, 0.500, 0.500)  -0.01
V (0.000, 0.000, 0.000)  0.15
Be (0.000, 0.500, 0.000)  0.02